Computed, not measured: an optimized crystal structure of LiCeNd2Se5 at the GGA-PBE level of DFT.

Summary:
The raw formation energy is -1712 meV/atom. The value obtained for the density of states at the Fermi level is 0.68 states/eV per atom. For the magnetic moment, the calculation gives 0.9 μB per formula unit. As for the symmetry: Cmc2_1 (36). The value obtained for the energy is -5.580 eV per atom.

abc: 4.179 8.954 12.576
angles: 90.00 90.00 103.50
Fractional positions:
Nd  0.110  0.219  0.685
Nd  0.123  0.247  0.298
Nd  0.890  0.781  0.185
Nd  0.877  0.753  0.798
Se  0.309  0.618  0.338
Se  0.711  0.422  0.165
Se  0.365  0.730  0.998
Se  0.691  0.382  0.838
Se  0.045  0.090  0.074
Se  0.501  0.002  0.784
Se  0.289  0.578  0.665
Se  0.499  0.998  0.284
Se  0.955  0.910  0.574
Se  0.635  0.270  0.498
Li  0.485  0.971  0.481
Li  0.515  0.029  0.981
Ce  0.197  0.394  0.002
Ce  0.803  0.606  0.502

---

Computed, not measured: an optimized crystal structure of LiCeNdSe3 at the GGA-PBE level of DFT.

Summary:
The raw formation energy is -1656 meV/atom. The value obtained for the density of states at the Fermi level is 1.32 states/eV per atom. For the magnetic moment, the calculation gives 1.3 μB per formula unit. As for the symmetry: P2_1/m (11). The value obtained for the energy is -5.501 eV per atom.

abc: 4.073 8.671 8.969
angles: 102.27 90.00 90.00
Fractional positions:
Li  0.250  0.086  0.584
Li  0.750  0.914  0.416
Ce  0.750  0.821  0.779
Ce  0.250  0.179  0.221
Se  0.750  0.420  0.177
Se  0.250  0.788  0.507
Se  0.750  0.908  0.133
Se  0.250  0.580  0.823
Se  0.250  0.092  0.867
Se  0.750  0.212  0.493
Nd  0.750  0.337  0.836
Nd  0.250  0.663  0.164

---

Computed, not measured: an optimized crystal structure of LiCe2NdSe4 at the GGA-PBE level of DFT.

Summary:
The raw formation energy is -1723 meV/atom. The value obtained for the density of states at the Fermi level is 1.63 states/eV per atom. For the magnetic moment, the calculation gives 2.4 μB per formula unit. As for the symmetry: P2/m (10). The value obtained for the energy is -5.784 eV per atom.

abc: 4.183 7.249 7.239
angles: 70.45 90.00 90.00
Fractional positions:
Nd  0.000  0.500  0.500
Se  0.000  0.259  0.240
Se  0.500  0.255  0.758
Se  0.000  0.741  0.760
Se  0.500  0.745  0.242
Li  0.500  0.500  0.000
Ce  0.000  0.000  0.000
Ce  0.500  0.000  0.500

---

Computed, not measured: an optimized crystal structure of LiCeNd2Se4 at the GGA-PBE level of DFT.

Summary:
The raw formation energy is -1752 meV/atom. The value obtained for the density of states at the Fermi level is 0.94 states/eV per atom. For the magnetic moment, the calculation gives 1.1 μB per formula unit. As for the symmetry: P2/m (10). The value obtained for the energy is -5.667 eV per atom.

abc: 4.184 7.222 7.259
angles: 109.47 90.00 90.00
Fractional positions:
Li  0.000  0.000  0.000
Se  0.500  0.241  0.240
Se  0.500  0.759  0.760
Se  0.000  0.755  0.242
Se  0.000  0.245  0.758
Nd  0.500  0.000  0.500
Nd  0.000  0.500  0.500
Ce  0.500  0.500  0.000

---

Computed, not measured: an optimized crystal structure of Li3Ce2NdSe6 at the GGA-PBE level of DFT.

Summary:
The raw formation energy is -1619 meV/atom. The value obtained for the density of states at the Fermi level is 1.06 states/eV per atom. For the magnetic moment, the calculation gives 2.0 μB per formula unit. As for the symmetry: C2/m (12). The value obtained for the energy is -5.226 eV per atom.

abc: 7.296 7.296 6.943
angles: 100.08 100.08 120.00
Fractional positions:
Se  0.579  0.913  0.741
Se  0.752  0.752  0.260
Se  0.421  0.087  0.259
Se  0.913  0.579  0.741
Se  0.087  0.421  0.259
Se  0.248  0.248  0.740
Ce  0.667  0.333  0.000
Ce  0.333  0.667  0.000
Li  0.166  0.834  0.500
Li  0.834  0.166  0.500
Li  0.500  0.500  0.500
Nd  0.000  0.000  0.000

---

Computed, not measured: an optimized crystal structure of LiCe3Nd3Se8 at the GGA-PBE level of DFT.

Summary:
The raw formation energy is -1781 meV/atom. The value obtained for the density of states at the Fermi level is 1.45 states/eV per atom. For the magnetic moment, the calculation gives 2.7 μB per formula unit. As for the symmetry: R-3m (166). The value obtained for the energy is -5.907 eV per atom.

abc: 8.359 8.359 8.390
angles: 119.88 90.00 120.00
Fractional positions:
Nd  0.500  0.500  0.000
Nd  0.000  0.000  0.000
Nd  0.000  0.500  0.000
Se  0.245  0.490  0.743
Se  0.755  0.510  0.257
Se  0.750  0.499  0.749
Se  0.247  0.002  0.258
Se  0.245  0.998  0.742
Se  0.753  0.998  0.742
Se  0.755  0.002  0.258
Se  0.250  0.501  0.251
Li  0.000  0.000  0.500
Ce  0.500  0.500  0.500
Ce  0.000  0.500  0.500
Ce  0.500  0.000  0.500

---

Computed, not measured: an optimized crystal structure of Li2CeNdSe4 at the GGA-PBE level of DFT.

Summary:
The raw formation energy is -1629 meV/atom. The value obtained for the density of states at the Fermi level is 0.79 states/eV per atom. For the magnetic moment, the calculation gives 1.0 μB per formula unit. As for the symmetry: P2/m (10). The value obtained for the energy is -5.187 eV per atom.

abc: 4.214 7.292 6.947
angles: 110.42 90.00 90.00
Fractional positions:
Se  0.500  0.746  0.740
Se  0.500  0.254  0.260
Se  0.000  0.248  0.741
Se  0.000  0.752  0.259
Ce  0.500  0.500  0.000
Nd  0.000  0.000  0.000
Li  0.000  0.500  0.500
Li  0.500  0.000  0.500

---

Computed, not measured: an optimized crystal structure of LiCe4Nd3Se8 at the GGA-PBE level of DFT.

Summary:
The raw formation energy is -1780 meV/atom. The value obtained for the density of states at the Fermi level is 1.69 states/eV per atom. For the magnetic moment, the calculation gives 4.6 μB per formula unit. As for the symmetry: R-3m (166). The value obtained for the energy is -6.019 eV per atom.

abc: 8.388 8.421 8.388
angles: 119.87 120.00 90.00
Fractional positions:
Nd  0.500  0.500  0.500
Nd  0.500  0.500  0.000
Nd  0.000  0.500  0.500
Ce  0.500  0.000  0.000
Ce  0.000  0.000  0.000
Ce  0.000  0.000  0.500
Ce  0.500  0.000  0.500
Li  0.000  0.500  0.000
Se  0.249  0.248  0.499
Se  0.243  0.744  0.001
Se  0.751  0.752  0.501
Se  0.757  0.256  0.999
Se  0.242  0.256  0.999
Se  0.244  0.744  0.487
Se  0.758  0.744  0.001
Se  0.756  0.256  0.513

---

Computed, not measured: an optimized crystal structure of LiCeNdSi at the GGA-PBE level of DFT.

Summary:
The raw formation energy is -245 meV/atom. The value obtained for the density of states at the Fermi level is 2.28 states/eV per atom. For the magnetic moment, the calculation gives 1.1 μB per formula unit. As for the symmetry: F-43m (216). The value obtained for the energy is -4.755 eV per atom.

abc: 5.126 5.126 5.126
angles: 60.00 60.00 60.00
Fractional positions:
Ce  0.500  0.500  0.500
Nd  0.000  0.000  0.000
Li  0.250  0.250  0.250
Si  0.750  0.750  0.750

---

Computed, not measured: an optimized crystal structure of LiCeNdSm at the GGA-PBE level of DFT.

Summary:
The value obtained for the density of states at the Fermi level is 2.48 states/eV per atom. For the magnetic moment, the calculation gives 2.4 μB per formula unit. As for the symmetry: F-43m (216). The value obtained for the energy is -4.054 eV per atom.

abc: 5.496 5.496 5.496
angles: 60.00 60.00 60.00
Fractional positions:
Nd  0.250  0.250  0.250
Ce  0.500  0.500  0.500
Sm  0.750  0.750  0.750
Li  0.000  0.000  0.000

---

Computed, not measured: an optimized crystal structure of Li2CeNd2Sn2 at the GGA-PBE level of DFT.

Summary:
The value obtained for the density of states at the Fermi level is 1.54 states/eV per atom. For the magnetic moment, the calculation gives 1.2 μB per formula unit. As for the symmetry: R-3m (166). The value obtained for the energy is -4.324 eV per atom.

abc: 4.894 4.894 9.486
angles: 75.05 75.05 60.00
Fractional positions:
Li  0.400  0.400  0.800
Li  0.600  0.600  0.200
Nd  0.128  0.128  0.616
Nd  0.872  0.872  0.384
Ce  0.000  0.000  0.000
Sn  0.265  0.265  0.206
Sn  0.735  0.735  0.794

---

Computed, not measured: an optimized crystal structure of LiTbCeNd at the GGA-PBE level of DFT.

Summary:
The value obtained for the density of states at the Fermi level is 2.37 states/eV per atom. For the magnetic moment, the calculation gives 2.5 μB per formula unit. As for the symmetry: F-43m (216). The value obtained for the energy is -4.027 eV per atom.

abc: 5.472 5.472 5.472
angles: 60.00 60.00 60.00
Fractional positions:
Li  0.000  0.000  0.000
Ce  0.500  0.500  0.500
Nd  0.250  0.250  0.250
Tb  0.750  0.750  0.750

---

Number 1: calculated volume 25.4 Å³ per atom. Number 2: calculated volume 25.8 Å³ per atom. Number 3: calculated volume 25.9 Å³ per atom. Number 4: calculated volume 25.9 Å³ per atom. Number 5: calculated volume 25.0 Å³ per atom. Number 6: calculated volume 27.7 Å³ per atom. Number 7: calculated volume 25.0 Å³ per atom. Number 8: calculated volume 26.2 Å³ per atom. Number 9: calculated volume 23.8 Å³ per atom. Number 10: calculated volume 29.3 Å³ per atom. Number 11: calculated volume 26.8 Å³ per atom. Number 12: calculated volume 29.0 Å³ per atom.